VASP calculation (PBE) on a geometry-optimized ZnAg2Sb structure.

## Properties
The calculation puts the uncorrected energy at -10.78 eV/cell. For the total moment, the calculation gives 0.00 μB per atom.

Lattice parameters (Å, degrees): 4.236 4.236 4.336 90.00 90.00 90.00
Sites, in units of the cell vectors:
Zn  0.000  0.000  0.000
Ag  0.000  0.500  0.500
Ag  0.500  0.000  0.500
Sb  0.500  0.500  0.000


VASP calculation (PBE) on a geometry-optimized RbTlRu3 structure.

## Properties
The calculation puts the uncorrected energy at -21.00 eV/cell. For the total moment, the calculation gives 1.14 μB per atom.

Lattice parameters (Å, degrees): 5.181 5.181 5.181 90.00 90.00 90.00
Sites, in units of the cell vectors:
Rb  0.000  0.000  0.000
Tl  0.500  0.500  0.500
Ru  0.000  0.500  0.500
Ru  0.500  0.000  0.500
Ru  0.500  0.500  0.000


VASP calculation (PBE) on a geometry-optimized Cs3Li2TmI9 structure.

## Properties
The calculation puts the uncorrected energy at -43.94 eV/cell. For the total moment, the calculation gives 0.00 μB per atom.

Lattice parameters (Å, degrees): 8.440 8.440 10.499 90.00 90.00 120.00
Sites, in units of the cell vectors:
Cs  0.000  0.000  0.000
Cs  0.333  0.667  0.674
Cs  0.667  0.333  0.326
Li  0.333  0.667  0.140
Li  0.667  0.333  0.860
Tm  0.000  0.000  0.500
I  0.000  0.500  0.000
I  0.167  0.334  0.335
I  0.167  0.833  0.335
I  0.334  0.167  0.665
I  0.500  0.000  0.000
I  0.500  0.500  0.000
I  0.666  0.833  0.335
I  0.833  0.167  0.665
I  0.833  0.666  0.665


VASP calculation (PBE) on a geometry-optimized Tb5Tl2Zn2 structure.

## Properties
The calculation puts the uncorrected energy at -65.55 eV/cell. For the total moment, the calculation gives 0.00 μB per atom.

Lattice parameters (Å, degrees): 9.283 9.283 7.581 90.00 90.00 48.33
Sites, in units of the cell vectors:
Tb  0.000  0.000  0.000
Tb  0.058  0.682  0.679
Tb  0.182  0.558  0.179
Tb  0.318  0.942  0.679
Tb  0.442  0.818  0.179
Tb  0.500  0.500  0.500
Tb  0.558  0.182  0.821
Tb  0.682  0.058  0.321
Tb  0.818  0.442  0.821
Tb  0.942  0.318  0.321
Tl  0.226  0.226  0.000
Tl  0.274  0.274  0.500
Tl  0.726  0.726  0.500
Tl  0.774  0.774  0.000
Zn  0.117  0.883  0.381
Zn  0.383  0.617  0.881
Zn  0.617  0.383  0.119
Zn  0.883  0.117  0.619


VASP calculation (PBE) on a geometry-optimized SrNd2GeN4 structure.

## Properties
The calculation puts the uncorrected energy at -112.31 eV/cell. For the total moment, the calculation gives 0.00 μB per atom.

Lattice parameters (Å, degrees): 6.424 6.424 12.202 90.00 90.00 148.05
Sites, in units of the cell vectors:
Sr  0.093  0.907  0.750
Sr  0.907  0.093  0.250
Nd  0.369  0.631  0.540
Nd  0.369  0.631  0.960
Nd  0.631  0.369  0.040
Nd  0.631  0.369  0.460
Ge  0.180  0.820  0.250
Ge  0.820  0.180  0.750
N  0.000  0.000  0.000
N  0.000  0.000  0.500
N  0.264  0.736  0.125
N  0.264  0.736  0.375
N  0.412  0.588  0.750
N  0.588  0.412  0.250
N  0.736  0.264  0.625
N  0.736  0.264  0.875


VASP calculation (PBE) on a geometry-optimized Fe2AgAs structure.

## Properties
The calculation puts the uncorrected energy at -22.80 eV/cell. For the total moment, the calculation gives 1.27 μB per atom.

Lattice parameters (Å, degrees): 4.359 4.359 4.359 60.00 60.00 60.00
Sites, in units of the cell vectors:
Fe  0.000  0.000  0.000
Fe  0.250  0.250  0.250
Ag  0.500  0.500  0.500
As  0.750  0.750  0.750


VASP calculation (PBE) on a geometry-optimized RbBaSr structure.

## Properties
The calculation puts the uncorrected energy at -8.68 eV/cell. For the total moment, the calculation gives 0.00 μB per atom.

Lattice parameters (Å, degrees): 4.417 7.032 13.292 90.00 97.13 90.00
Sites, in units of the cell vectors:
Rb  0.197  0.250  0.413
Rb  0.803  0.750  0.587
Ba  0.421  0.250  0.794
Ba  0.579  0.750  0.206
Sr  0.020  0.250  0.081
Sr  0.980  0.750  0.919


VASP calculation (PBE) on a geometry-optimized Pm2HoTmS4 structure.

## Properties
The calculation puts the uncorrected energy at -51.05 eV/cell. For the total moment, the calculation gives 0.00 μB per atom.

Lattice parameters (Å, degrees): 6.782 3.890 6.973 90.00 108.72 90.00
Sites, in units of the cell vectors:
Pm  0.000  0.000  0.000
Pm  0.500  0.500  0.000
Ho  0.000  0.500  0.500
Tm  0.500  0.000  0.500
S  0.246  0.000  0.734
S  0.258  0.500  0.268
S  0.742  0.500  0.732
S  0.754  0.000  0.266


VASP calculation (PBE) on a geometry-optimized Ac2LaMoN4 structure.

## Properties
The calculation puts the uncorrected energy at -127.36 eV/cell. For the total moment, the calculation gives 0.00 μB per atom.

Lattice parameters (Å, degrees): 6.509 6.509 13.171 90.00 90.00 147.66
Sites, in units of the cell vectors:
Ac  0.132  0.868  0.543
Ac  0.132  0.868  0.957
Ac  0.868  0.132  0.043
Ac  0.868  0.132  0.457
La  0.424  0.576  0.750
La  0.576  0.424  0.250
Mo  0.317  0.683  0.250
Mo  0.683  0.317  0.750
N  0.079  0.921  0.750
N  0.225  0.775  0.137
N  0.225  0.775  0.363
N  0.500  0.500  0.000
N  0.500  0.500  0.500
N  0.775  0.225  0.637
N  0.775  0.225  0.863
N  0.921  0.079  0.250


VASP calculation (PBE) on a geometry-optimized Tc13Ru2 structure.

## Properties
The calculation puts the uncorrected energy at -152.21 eV/cell. For the total moment, the calculation gives 0.00 μB per atom.

Lattice parameters (Å, degrees): 4.738 6.713 7.251 72.06 83.78 89.97
Sites, in units of the cell vectors:
Tc  0.000  0.000  0.000
Tc  0.066  0.134  0.600
Tc  0.135  0.267  0.200
Tc  0.203  0.400  0.798
Tc  0.267  0.536  0.398
Tc  0.332  0.668  0.000
Tc  0.399  0.801  0.599
Tc  0.601  0.199  0.401
Tc  0.668  0.332  0.000
Tc  0.733  0.464  0.602
Tc  0.797  0.600  0.202
Tc  0.865  0.733  0.800
Tc  0.934  0.866  0.400
Ru  0.466  0.933  0.200
Ru  0.534  0.067  0.800


VASP calculation (PBE) on a geometry-optimized WSeCl2 structure.

## Properties
The calculation puts the uncorrected energy at -17.78 eV/cell. For the total moment, the calculation gives 0.50 μB per atom.

Lattice parameters (Å, degrees): 4.657 4.657 4.657 60.00 60.00 60.00
Sites, in units of the cell vectors:
W  0.000  0.000  0.000
Se  0.750  0.750  0.750
Cl  0.250  0.250  0.250
Cl  0.500  0.500  0.500


VASP calculation (PBE) on a geometry-optimized ZnCoRuW structure.

## Properties
The calculation puts the uncorrected energy at -30.57 eV/cell. For the total moment, the calculation gives 0.25 μB per atom.

Lattice parameters (Å, degrees): 4.258 4.258 4.258 60.00 60.00 60.00
Sites, in units of the cell vectors:
Zn  0.000  0.000  0.000
Co  0.750  0.750  0.750
Ru  0.250  0.250  0.250
W  0.500  0.500  0.500